VASP calculation (PBE-GGA) on a relaxed structure of TaSnPb2O6.

Properties
SG = R-3, No. 148
excess energy over the best structure of this formula in the dataset = 0.000 eV per atom

Cell lengths 5.764, 5.764, 5.764 Å; angles 61.77, 61.77, 61.77 degrees
Fractional coordinates of all 10 atoms:
O1 0.225 0.688 0.839
Sn1 0.500 0.500 0.500
O2 0.312 0.161 0.775
O3 0.161 0.775 0.312
O4 0.688 0.839 0.225
Pb1 0.247 0.247 0.247
O5 0.839 0.225 0.688
Ta1 0.000 0.000 0.000
Pb2 0.753 0.753 0.753
O6 0.775 0.312 0.161

***

VASP calculation (PBE-GGA) on a relaxed structure of SrZn3Pb4O12.

Properties
SG = Im-3, No. 204

Cell lengths 6.971, 6.971, 6.971 Å; angles 109.47, 109.47, 109.47 degrees
Fractional coordinates of all 20 atoms:
O1 0.312 0.481 0.168
O2 0.144 0.832 0.312
O3 0.832 0.688 0.519
Zn1 0.500 0.500 0.000
O4 0.312 0.144 0.832
O5 0.481 0.168 0.312
Zn2 0.000 0.500 0.500
O6 0.168 0.688 0.856
Pb1 0.500 0.500 0.500
O7 0.856 0.168 0.688
O8 0.688 0.856 0.168
Pb2 0.000 0.500 0.000
Pb3 0.000 0.000 0.500
O9 0.519 0.832 0.688
Sr1 0.000 0.000 0.000
O10 0.832 0.312 0.144
O11 0.168 0.312 0.481
Zn3 0.500 0.000 0.500
O12 0.688 0.519 0.832
Pb4 0.500 0.000 0.000

***

VASP calculation (PBE-GGA) on a relaxed structure of TaPbO3.

Properties
SG = P4_1, No. 76

Cell lengths 5.351, 5.351, 9.951 Å; angles 90.00, 90.00, 90.00 degrees
Fractional coordinates of all 20 atoms:
Pb1 0.802 0.805 0.997
O1 0.484 0.495 0.381
O2 0.263 0.006 0.874
Pb2 0.198 0.195 0.497
O3 0.505 0.484 0.631
Ta1 0.707 0.699 0.502
Pb3 0.195 0.802 0.247
Ta2 0.293 0.301 0.002
O4 0.934 0.499 0.371
O5 0.994 0.263 0.124
O6 0.066 0.501 0.871
O7 0.006 0.737 0.624
O8 0.737 0.994 0.374
Ta3 0.301 0.707 0.752
O9 0.499 0.066 0.121
O10 0.501 0.934 0.621
Ta4 0.699 0.293 0.252
Pb4 0.805 0.198 0.747
O11 0.495 0.516 0.131
O12 0.516 0.505 0.881

***

no.,E_tot (eV/atom)
1,-7.03
2,-5.14
3,-8.11